Entry 1:
The following is a DFT calculation (PBE) of an optimized crystal structure of Mg2Tc2Bi.

Cell: 7.8669 7.8669 3.1855 Å, 90.00 90.00 90.00°
Positions (direct):
Mg 0.1852 0.6852 0.5000
Mg 0.6852 0.8148 0.5000
Mg 0.8148 0.3148 0.5000
Mg 0.3148 0.1852 0.5000
Bi 0.0000 0.0000 0.0000
Bi 0.5000 0.5000 0.0000
Tc 0.3994 0.8994 0.0000
Tc 0.8994 0.6006 0.0000
Tc 0.6006 0.1006 0.0000
Tc 0.1006 0.3994 0.0000

Summary:
The calculation puts the formation energy at 0.353 eV/atom. For the relative energy among the computed polymorphs, the calculation gives 0 meV/atom.



Entry 2:
The following is a DFT calculation (PBE) of an optimized crystal structure of Er4TlNi.

Cell: 6.7852 7.0261 7.2423 Å, 90.00 93.68 90.00°
Positions (direct):
Er 0.8941 0.6390 0.1868
Er 0.6059 0.1390 0.8132
Er 0.3197 0.3344 0.3645
Er 0.1803 0.8344 0.6355
Er 0.1059 0.3610 0.8132
Er 0.3941 0.8610 0.1868
Er 0.6803 0.6656 0.6355
Er 0.8197 0.1656 0.3645
Tl 0.0000 0.0000 0.0000
Tl 0.5000 0.5000 0.0000
Ni 0.5000 0.0000 0.5000
Ni 0.0000 0.5000 0.5000

Summary:
The calculation puts the formation energy at -0.130 eV/atom. For the relative energy among the computed polymorphs, the calculation gives 194 meV/atom.



Entry 3:
The following is a DFT calculation (PBE) of an optimized crystal structure of LiTbSmZn.

Cell: 5.1650 5.1650 5.1650 Å, 60.00 60.00 60.00°
Positions (direct):
Zn 0.0000 0.0000 0.0000
Tb 0.2500 0.2500 0.2500
Sm 0.7500 0.7500 0.7500
Li 0.5000 0.5000 0.5000

Summary:
The calculation puts the formation energy at -0.113 eV/atom. For the relative energy among the computed polymorphs, the calculation gives 8 meV/atom.



Entry 4:
The following is a DFT calculation (PBE) of an optimized crystal structure of Li2Fe3.

Cell: 11.0387 11.0387 11.0387 Å, 12.89 12.89 12.89°
Positions (direct):
Li 0.4024 0.4024 0.4024
Li 0.5976 0.5976 0.5976
Fe 0.0000 0.0000 0.0000
Fe 0.8046 0.8046 0.8046
Fe 0.1954 0.1954 0.1954

Summary:
The calculation puts the formation energy at 0.259 eV/atom.



Entry 5:
The following is a DFT calculation (PBE) of an optimized crystal structure of OsINO2.

Cell: 3.6565 3.6565 6.4540 Å, 90.00 90.00 90.00°
Positions (direct):
I 0.0000 0.0000 0.5000
Os 0.0000 0.0000 0.0000
O 0.0000 0.5000 0.0000
O 0.5000 0.0000 0.0000
N 0.5000 0.5000 0.5000

Summary:
The energy relative to the elements, uncorrected comes out at 2.18 eV per formula unit.



Entry 6:
The following is a DFT calculation (PBE) of an optimized crystal structure of BaW2Au.

Cell: 3.5954 3.5954 7.4595 Å, 90.00 90.00 90.00°
Positions (direct):
Au 0.5000 0.5000 0.2500
Ba 0.5000 0.5000 0.7500
W 0.0000 0.0000 0.0946
W 0.0000 0.0000 0.4054

Summary:
The calculation puts the formation energy at 1.048 eV/atom. For the relative energy among the computed polymorphs, the calculation gives 534 meV/atom.



Entry 7:
The following is a DFT calculation (PBE) of an optimized crystal structure of UTiOs4.

Cell: 5.2486 5.2486 5.2486 Å, 60.00 60.00 60.00°
Positions (direct):
Os 0.6255 0.6255 0.1234
Os 0.6255 0.1234 0.6255
Os 0.6255 0.6255 0.6255
Os 0.1234 0.6255 0.6255
U 0.2500 0.2500 0.2500
Ti 0.0000 0.0000 0.0000

Summary:
The calculation puts the formation energy at -0.041 eV/atom.



Entry 8:
The following is a DFT calculation (PBE) of an optimized crystal structure of LaReSb2.

Cell: 5.0824 3.6031 5.8084 Å, 72.02 90.00 90.00°
Positions (direct):
La 0.0000 0.5619 0.4995
Re 0.5000 0.9025 0.8202
Sb 0.0000 0.8361 0.9541
Sb 0.5000 0.1995 0.2262

Summary:
For the relative energy among the computed polymorphs, the calculation gives 417 meV/atom. The energy relative to the elements, uncorrected comes out at 0.61 eV per formula unit.



Entry 9:
The following is a DFT calculation (PBE) of an optimized crystal structure of RbZnPb2.

Cell: 4.7841 4.7841 7.9685 Å, 72.53 72.53 60.00°
Positions (direct):
Rb 0.4952 0.4952 0.5143
Zn 0.6724 0.6724 0.9827
Pb 0.0442 0.0442 0.8673
Pb 0.2881 0.2881 0.1357

Summary:
The calculation puts the formation energy at -0.010 eV/atom.



Entry 10:
The following is a DFT calculation (PBE) of an optimized crystal structure of Ac4NdTl5.

Cell: 4.0327 4.0327 21.0260 Å, 90.00 90.00 90.00°
Positions (direct):
Ac 0.0000 0.0000 0.1911
Ac 0.0000 0.0000 0.3964
Ac 0.0000 0.0000 0.6036
Ac 0.0000 0.0000 0.8089
Nd 0.0000 0.0000 0.0000
Tl 0.5000 0.5000 0.0872
Tl 0.5000 0.5000 0.2928
Tl 0.5000 0.5000 0.5000
Tl 0.5000 0.5000 0.7072
Tl 0.5000 0.5000 0.9128

Summary:
The calculation puts the formation energy at -0.357 eV/atom.



Entry 11:
The following is a DFT calculation (PBE) of an optimized crystal structure of Al2PCl.

Cell: 4.6806 4.6806 4.6806 Å, 60.00 60.00 60.00°
Positions (direct):
P 0.7500 0.7500 0.7500
Al 0.0000 0.0000 0.0000
Al 0.2500 0.2500 0.2500
Cl 0.5000 0.5000 0.5000

Summary:
For the relative energy among the computed polymorphs, the calculation gives 642 meV/atom. The energy relative to the elements, uncorrected comes out at 1.31 eV per formula unit.



Entry 12:
The following is a DFT calculation (PBE) of an optimized crystal structure of In2Se.

Cell: 3.6978 3.6978 6.3752 Å, 105.86 105.86 93.66°
Positions (direct):
Se 0.5000 0.5000 0.0000
In 0.1487 0.1487 0.2956
In 0.8513 0.8513 0.7044

Summary:
For the relative energy among the computed polymorphs, the calculation gives 96 meV/atom. The energy relative to the elements, uncorrected comes out at -0.62 eV per formula unit.



Number 1: volume 197.1 Å³/cell, magnetic moment 0.00 μB/cell. Number 2: volume 344.5 Å³/cell, magnetic moment 0.00 μB/cell. Number 3: volume 97.4 Å³/cell, magnetic moment 0.00 μB/cell. Number 4: volume 58.2 Å³/cell, magnetic moment 3.87 μB/cell. Number 5: volume 86.3 Å³/cell, magnetic moment 0.00 μB/cell. Number 6: volume 96.4 Å³/cell, magnetic moment 0.00 μB/cell. Number 7: volume 102.2 Å³/cell, magnetic moment 2.19 μB/cell. Number 8: volume 101.2 Å³/cell, magnetic moment 0.00 μB/cell. Number 9: volume 148.2 Å³/cell, magnetic moment 0.00 μB/cell. Number 10: volume 341.9 Å³/cell, magnetic moment 0.00 μB/cell. Number 11: volume 72.5 Å³/cell, magnetic moment 0.00 μB/cell. Number 12: volume 79.8 Å³/cell, magnetic moment 0.00 μB/cell.